VASP calculation (PBE-GGA) on crystalline Tb5Ir2Pd2 at its relaxed geometry.

It has space group Cmce (No. 64), with a = 14.722 Å, b = 7.567 Å, c = 7.595 Å, α = 90.00°, β = 90.00° and γ = 90.00°. The distinct sites, in fractional coordinates, are Tb at (0.000, 0.000, 0.000), Tb at (0.132, 0.171, 0.333), Ir at (0.000, 0.133, 0.632) and Pd at (0.206, 0.000, 0.000).

As for the formation enthalpy at 0 K: -0.80 eV per atom.